(1)
Compound: EuTmRh
Source: Alexandria via LeMat-Bulk
Functional: PBE-GGA
Structure: optimized geometry

Computed properties:
Energy relative to the elements in meV/atom: -495
Calculated volume in Å³ per atom: 26.01
ρ in g/cm3: 9.02
Energy above the most stable polymorph in this dataset in meV per atom: 0
M_tot in μB/cell: 7.114

abc: 6.9788 6.9788 6.9788
angles: 151.34 151.34 40.98
With the nearest neighbours (Å) after each atom.
Sites, in units of the cell vectors:
Eu 0.0000 0.0000 0.0000  4 Rh 3.15, 1 Tm 3.41, 4 Eu 3.46
Tm 0.2606 0.2606 0.0000  4 Rh 2.83
Rh 0.6518 0.6518 0.0000  4 Tm 2.83, 4 Eu 3.15

=====

(2)
Compound: CaTlRu2
Source: Alexandria via LeMat-Bulk
Functional: PBE-GGA
Structure: optimized geometry

Computed properties:
Energy relative to the elements in meV/atom: 473
Calculated volume in Å³ per atom: 18.52
ρ in g/cm3: 10.01
Energy above the most stable polymorph in this dataset in meV per atom: 281
M_tot in μB/cell: 0.995

abc: 4.5792 4.5792 3.5329
angles: 90.00 90.00 90.00
With the nearest neighbours (Å) after each atom.
Sites, in units of the cell vectors:
Ca 0.0000 0.0000 0.0000  8 Ru 2.89, 4 Tl 3.24
Tl 0.5000 0.5000 0.0000  8 Ru 2.89, 4 Ca 3.24
Ru 0.0000 0.5000 0.5000  4 Tl 2.89, 4 Ca 2.89, 4 Ru 3.24
Ru 0.5000 0.0000 0.5000  4 Tl 2.89, 4 Ca 2.89, 4 Ru 3.24

=====

(3)
Compound: CaPr2Nd
Source: Alexandria via LeMat-Bulk
Functional: PBE-GGA
Structure: optimized geometry

Computed properties:
Energy relative to the elements in meV/atom: 30
Calculated volume in Å³ per atom: 37.16
ρ in g/cm3: 5.21
Energy above the most stable polymorph in this dataset in meV per atom: 0
M_tot in μB/cell: 0.000

abc: 3.7326 3.7326 12.3101
angles: 90.00 90.00 120.00
With the nearest neighbours (Å) after each atom.
Sites, in units of the cell vectors:
Ca 0.0000 0.0000 0.0000  6 Ca 3.73, 6 Pr 3.85
Pr 0.6667 0.3333 0.2589  3 Nd 3.67, 6 Pr 3.73, 3 Ca 3.85
Pr 0.6667 0.3333 0.7411  3 Nd 3.67, 6 Pr 3.73, 3 Ca 3.85
Nd 0.3333 0.6667 0.5000  6 Pr 3.67, 6 Nd 3.73

=====

(4)
Compound: Tb5Y4Ho2
Source: Alexandria via LeMat-Bulk
Functional: PBE-GGA
Structure: optimized geometry

Computed properties:
Energy relative to the elements in meV/atom: 125
Calculated volume in Å³ per atom: 32.36
ρ in g/cm3: 6.90
Energy above the most stable polymorph in this dataset in meV per atom: 0
M_tot in μB/cell: 0.001

abc: 6.6218 6.6218 9.2732
angles: 104.62 104.62 66.71
With the nearest neighbours (Å) after each atom.
Sites, in units of the cell vectors:
Tb 0.0000 0.0000 0.0000  4 Tb 3.17, 2 Y 3.47
Tb 0.2117 0.6550 0.7237  2 Tb 3.17-3.23, 2 Ho 3.43-3.46, 3 Y 3.44-3.46
Tb 0.3450 0.7883 0.2763  2 Tb 3.17-3.23, 2 Ho 3.43-3.46, 3 Y 3.44-3.46
Tb 0.6550 0.2117 0.7237  2 Tb 3.17-3.23, 2 Ho 3.43-3.46, 3 Y 3.44-3.46
Tb 0.7883 0.3450 0.2763  2 Tb 3.17-3.23, 2 Ho 3.43-3.46, 3 Y 3.44-3.46
Y 0.3136 0.3136 0.9983  1 Ho 3.44, 1 Y 3.47, 5 Tb 3.47-3.59
Y 0.3303 0.3303 0.3779  6 Tb 3.44-3.46, 3 Ho 3.45-3.65, 2 Y 3.47-3.75
Y 0.6697 0.6697 0.6221  6 Tb 3.44-3.46, 3 Ho 3.45-3.65, 2 Y 3.47-3.75
Y 0.6864 0.6864 0.0017  1 Ho 3.44, 1 Y 3.47, 5 Tb 3.47-3.59
Ho 0.1463 0.1463 0.6193  1 Ho 3.32, 6 Tb 3.43-3.65, 4 Y 3.44-3.65
Ho 0.8537 0.8537 0.3807  1 Ho 3.32, 6 Tb 3.43-3.65, 4 Y 3.44-3.65

=====

(5)
Compound: Tb2Cd2C
Source: Alexandria via LeMat-Bulk
Functional: PBE-GGA
Structure: optimized geometry

Computed properties:
Energy relative to the elements in meV/atom: -247
Calculated volume in Å³ per atom: 23.12
ρ in g/cm3: 7.97
M_tot in μB/cell: 0.000

abc: 10.5570 10.5570 10.5570
angles: 19.58 19.58 19.58
With the nearest neighbours (Å) after each atom.
Sites, in units of the cell vectors:
Tb 0.1228 0.1228 0.1228  3 C 2.48
Tb 0.8772 0.8772 0.8772  3 C 2.48
Cd 0.3701 0.3701 0.3701  3 Cd 3.08, 3 Tb 3.38
Cd 0.6299 0.6299 0.6299  3 Cd 3.08, 3 Tb 3.38
C 0.5000 0.5000 0.5000  6 Tb 2.48

=====

(6)
Compound: Ce2CdC
Source: Alexandria via LeMat-Bulk
Functional: PBE-GGA
Structure: optimized geometry

Computed properties:
Energy relative to the elements in meV/atom: 19
Calculated volume in Å³ per atom: 23.74
ρ in g/cm3: 7.08
M_tot in μB/cell: 1.912

abc: 3.6400 3.6400 8.2744
angles: 90.00 90.00 120.00
With the nearest neighbours (Å) after each atom.
Sites, in units of the cell vectors:
Ce 0.0000 0.0000 0.1685  3 C 2.52, 1 Ce 2.79
Ce 0.0000 0.0000 0.8315  3 C 2.52, 1 Ce 2.79
Cd 0.3333 0.6667 0.5000  6 Ce 3.46, 6 Cd 3.64
C 0.6667 0.3333 0.0000  6 Ce 2.52

=====

(7)
Compound: Tb3Rh4Pb
Source: Alexandria via LeMat-Bulk
Functional: PBE-GGA
Structure: optimized geometry

Computed properties:
Energy relative to the elements in meV/atom: -692
Calculated volume in Å³ per atom: 19.79
ρ in g/cm3: 11.49
M_tot in μB/cell: 0.000

abc: 4.8156 4.8156 6.8254
angles: 90.00 90.00 90.00
With the nearest neighbours (Å) after each atom.
Sites, in units of the cell vectors:
Tb 0.0000 0.0000 0.0000  8 Rh 2.94
Tb 0.0000 0.0000 0.5000  8 Rh 2.97
Tb 0.5000 0.5000 0.0000  8 Rh 2.94
Rh 0.0000 0.5000 0.2461  6 Tb 2.94-2.97, 2 Pb 2.97
Rh 0.0000 0.5000 0.7539  6 Tb 2.94-2.97, 2 Pb 2.97
Rh 0.5000 0.0000 0.2461  6 Tb 2.94-2.97, 2 Pb 2.97
Rh 0.5000 0.0000 0.7539  6 Tb 2.94-2.97, 2 Pb 2.97
Pb 0.5000 0.5000 0.5000  8 Rh 2.97

=====

(8)
Compound: CdSiRu2
Source: Alexandria via LeMat-Bulk
Functional: PBE-GGA
Structure: optimized geometry

Computed properties:
E_form (uncorrected) in eV/f.u.: 0.488
Calculated volume in Å³ per atom: 15.98
ρ in g/cm3: 8.90
M_tot in μB/cell: 0.000

abc: 2.8358 2.8358 7.9477
angles: 90.00 90.00 90.00
With the nearest neighbours (Å) after each atom.
Sites, in units of the cell vectors:
Cd 0.0000 0.0000 0.0000  4 Cd 2.84, 4 Ru 2.92
Si 0.5000 0.5000 0.6823  4 Ru 2.55, 4 Si 2.84
Ru 0.0000 0.0000 0.4837  4 Si 2.55, 8 Ru 2.65-2.84
Ru 0.5000 0.5000 0.2667  8 Ru 2.65-2.84, 4 Cd 2.92

=====

(9)
Compound: V3GaW
Source: Alexandria via LeMat-Bulk
Functional: PBE-GGA
Structure: optimized geometry

Computed properties:
Energy relative to the elements in meV/atom: 1309
Calculated volume in Å³ per atom: 19.28
ρ in g/cm3: 7.00
Energy above the most stable polymorph in this dataset in meV per atom: 1324
M_tot in μB/cell: 0.000

abc: 4.5849 4.5849 4.5849
angles: 90.00 90.00 90.00
With the nearest neighbours (Å) after each atom.
Sites, in units of the cell vectors:
V 0.0000 0.0000 0.5000  2 W 2.29
V 0.0000 0.5000 0.0000  2 W 2.29
V 0.5000 0.0000 0.0000  2 W 2.29
Ga 0.5000 0.5000 0.5000  12 V 3.24
W 0.0000 0.0000 0.0000  6 V 2.29

=====

(10)
Compound: CdFe2Ru2
Source: Alexandria via LeMat-Bulk
Functional: PBE-GGA
Structure: optimized geometry

Computed properties:
Energy relative to the elements in meV/atom: 377
Calculated volume in Å³ per atom: 14.09
ρ in g/cm3: 10.05
Energy above the most stable polymorph in this dataset in meV per atom: 66
M_tot in μB/cell: 0.001

abc: 7.2830 7.2830 2.6562
angles: 90.00 90.00 90.00
With the nearest neighbours (Å) after each atom.
Sites, in units of the cell vectors:
Cd 0.0000 0.0000 0.0000  2 Cd 2.66, 4 Ru 2.88
Cd 0.5000 0.5000 0.0000  2 Cd 2.66, 4 Ru 2.88
Fe 0.1648 0.3352 0.5000  6 Ru 2.51-2.53, 2 Fe 2.66
Fe 0.3352 0.8352 0.5000  6 Ru 2.51-2.53, 2 Fe 2.66
Fe 0.6648 0.1648 0.5000  6 Ru 2.51-2.53, 2 Fe 2.66
Fe 0.8352 0.6648 0.5000  6 Ru 2.51-2.53, 2 Fe 2.66
Ru 0.1256 0.6256 0.0000  6 Fe 2.51-2.53, 3 Ru 2.59-2.66
Ru 0.3744 0.1256 0.0000  6 Fe 2.51-2.53, 3 Ru 2.59-2.66
Ru 0.6256 0.8744 0.0000  6 Fe 2.51-2.53, 3 Ru 2.59-2.66
Ru 0.8744 0.3744 0.0000  6 Fe 2.51-2.53, 3 Ru 2.59-2.66

=====

Look up the ρ of the eighth one. 8.90 g/cm3

=====

Look up the ρ of the eighth one. 8.90 g/cm3

=====

What is the ρ in the second record? 10.01 g/cm3